Entry 1:
Entry from the Alexandria database: crystalline BaSn2C at its relaxed geometry (PBE). Values from VASP.

Results
V = 425.2 Å³/cell
Energy relative to the elements = 0.48 eV/atom
Fermi-level density of states = 0.75 states/eV/f.u.
Space-group type = I-42d (122)

The structure in Quantum ESPRESSO input format:
```
&SYSTEM
  ibrav = 0, nat = 16, ntyp = 3
/
ATOMIC_SPECIES
Ba 137.33 Ba.upf
Sn 118.71 Sn.upf
C 12.01 C.upf
CELL_PARAMETERS angstrom
7.850 0.000 0.000
0.000 7.850 0.000
0.000 0.000 6.899
ATOMIC_POSITIONS crystal
Ba 0.000 0.000 0.000
Ba 0.000 0.500 0.250
Ba 0.500 0.000 0.750
Ba 0.500 0.500 0.500
Sn 0.137 0.250 0.625
Sn 0.250 0.637 0.875
Sn 0.250 0.863 0.375
Sn 0.363 0.250 0.125
Sn 0.637 0.750 0.125
Sn 0.750 0.137 0.375
Sn 0.750 0.363 0.875
Sn 0.863 0.750 0.625
C 0.000 0.000 0.500
C 0.000 0.500 0.750
C 0.500 0.000 0.250
C 0.500 0.500 0.000
```



Entry 2:
Entry from the Alexandria database: crystalline Ba2SnC at its relaxed geometry (PBE). Values from VASP.

Results
V = 524.8 Å³/cell
Energy relative to the elements = 0.61 eV/atom
Fermi-level density of states = 4.39 states/eV/f.u.
Energy relative to the lowest polymorph listed for this composition = 0.000 eV per atom
Space-group type = I-42d (122)

The structure in Quantum ESPRESSO input format:
```
&SYSTEM
  ibrav = 0, nat = 16, ntyp = 3
/
ATOMIC_SPECIES
Ba 137.33 Ba.upf
Sn 118.71 Sn.upf
C 12.01 C.upf
CELL_PARAMETERS angstrom
8.838 0.000 0.000
0.000 8.838 0.000
0.000 0.000 6.720
ATOMIC_POSITIONS crystal
Ba 0.158 0.750 0.125
Ba 0.250 0.158 0.875
Ba 0.250 0.342 0.375
Ba 0.342 0.750 0.625
Ba 0.658 0.250 0.625
Ba 0.750 0.658 0.375
Ba 0.750 0.842 0.875
Ba 0.842 0.250 0.125
Sn 0.000 0.000 0.500
Sn 0.000 0.500 0.750
Sn 0.500 0.000 0.250
Sn 0.500 0.500 0.000
C 0.000 0.000 0.000
C 0.000 0.500 0.250
C 0.500 0.000 0.750
C 0.500 0.500 0.500
```



Entry 3:
Entry from the Alexandria database: crystalline BaTcSn2C at its relaxed geometry (PBE). Values from VASP.

Results
V = 157.2 Å³/cell
Energy relative to the elements = 1.15 eV/atom
Fermi-level density of states = 1.70 states/eV/f.u.
Space-group type = P4/mmm (123)

The structure in Quantum ESPRESSO input format:
```
&SYSTEM
  ibrav = 0, nat = 5, ntyp = 4
/
ATOMIC_SPECIES
Ba 137.33 Ba.upf
Tc 98.00 Tc.upf
Sn 118.71 Sn.upf
C 12.01 C.upf
CELL_PARAMETERS angstrom
5.112 0.000 0.000
0.000 5.112 0.000
0.000 0.000 6.015
ATOMIC_POSITIONS crystal
Ba 0.000 0.000 0.000
Tc 0.000 0.000 0.500
Sn 0.000 0.500 0.500
Sn 0.500 0.000 0.500
C 0.500 0.500 0.000
```



Entry 4:
Entry from the Alexandria database: crystalline BaTiSnC2 at its relaxed geometry (PBE). Values from VASP.

Results
V = 102.1 Å³/cell
Energy relative to the elements = 0.96 eV/atom
Fermi-level density of states = 2.11 states/eV/f.u.
Space-group type = P4/mmm (123)

The structure in Quantum ESPRESSO input format:
```
&SYSTEM
  ibrav = 0, nat = 5, ntyp = 4
/
ATOMIC_SPECIES
Ba 137.33 Ba.upf
Ti 47.87 Ti.upf
Sn 118.71 Sn.upf
C 12.01 C.upf
CELL_PARAMETERS angstrom
4.446 0.000 0.000
0.000 4.446 0.000
0.000 0.000 5.166
ATOMIC_POSITIONS crystal
Ba 0.000 0.000 0.000
Ti 0.500 0.500 0.500
Sn 0.500 0.500 0.000
C 0.000 0.500 0.500
C 0.500 0.000 0.500
```



Entry 5:
Entry from the Alexandria database: crystalline BaTiSn2C at its relaxed geometry (PBE). Values from VASP.

Results
V = 122.7 Å³/cell
Energy relative to the elements = 0.43 eV/atom
Fermi-level density of states = 4.95 states/eV/f.u.
Space-group type = P4/mmm (123)

The structure in Quantum ESPRESSO input format:
```
&SYSTEM
  ibrav = 0, nat = 5, ntyp = 4
/
ATOMIC_SPECIES
Ba 137.33 Ba.upf
Ti 47.87 Ti.upf
Sn 118.71 Sn.upf
C 12.01 C.upf
CELL_PARAMETERS angstrom
5.366 0.000 0.000
0.000 5.366 0.000
0.000 0.000 4.262
ATOMIC_POSITIONS crystal
Ba 0.000 0.000 0.000
Ti 0.500 0.500 0.000
Sn 0.000 0.500 0.500
Sn 0.500 0.000 0.500
C 0.500 0.500 0.500
```



Entry 6:
Entry from the Alexandria database: crystalline Ba2TlSnC at its relaxed geometry (PBE). Values from VASP.

Results
V = 254.0 Å³/cell
Energy relative to the elements = 1.09 eV/atom
Fermi-level density of states = 4.07 states/eV/f.u.
Space-group type = P4/mmm (123)

The structure in Quantum ESPRESSO input format:
```
&SYSTEM
  ibrav = 0, nat = 5, ntyp = 4
/
ATOMIC_SPECIES
Ba 137.33 Ba.upf
Tl 204.38 Tl.upf
Sn 118.71 Sn.upf
C 12.01 C.upf
CELL_PARAMETERS angstrom
6.727 0.000 0.000
0.000 6.727 0.000
0.000 0.000 5.614
ATOMIC_POSITIONS crystal
Ba 0.000 0.500 0.000
Ba 0.500 0.000 0.000
Tl 0.000 0.000 0.500
Sn 0.000 0.000 0.000
C 0.500 0.500 0.500
```



Entry 7:
Entry from the Alexandria database: crystalline Ba3SrC at its relaxed geometry (PBE). Values from VASP.

Results
V = 391.0 Å³/cell
Energy relative to the elements = 1.89 eV/atom
Fermi-level density of states = 8.61 states/eV/f.u.
Energy relative to the lowest polymorph listed for this composition = 1.408 eV per atom
Space-group type = Pm-3m (221)

The structure in Quantum ESPRESSO input format:
```
&SYSTEM
  ibrav = 0, nat = 5, ntyp = 3
/
ATOMIC_SPECIES
Ba 137.33 Ba.upf
Sr 87.62 Sr.upf
C 12.01 C.upf
CELL_PARAMETERS angstrom
7.313 0.000 0.000
0.000 7.313 0.000
0.000 0.000 7.313
ATOMIC_POSITIONS crystal
Ba 0.000 0.000 0.500
Ba 0.000 0.500 0.000
Ba 0.500 0.000 0.000
Sr 0.000 0.000 0.000
C 0.500 0.500 0.500
```



Entry 8:
Entry from the Alexandria database: crystalline BaSr3C at its relaxed geometry (PBE). Values from VASP.

Results
V = 318.5 Å³/cell
Energy relative to the elements = 2.04 eV/atom
Fermi-level density of states = 0.79 states/eV/f.u.
Energy relative to the lowest polymorph listed for this composition = 1.626 eV per atom
Space-group type = Pm-3m (221)

The structure in Quantum ESPRESSO input format:
```
&SYSTEM
  ibrav = 0, nat = 5, ntyp = 3
/
ATOMIC_SPECIES
Ba 137.33 Ba.upf
Sr 87.62 Sr.upf
C 12.01 C.upf
CELL_PARAMETERS angstrom
6.829 0.000 0.000
0.000 6.829 0.000
0.000 0.000 6.829
ATOMIC_POSITIONS crystal
Ba 0.000 0.000 0.000
Sr 0.000 0.000 0.500
Sr 0.000 0.500 0.000
Sr 0.500 0.000 0.000
C 0.500 0.500 0.500
```



Entry 9:
Entry from the Alexandria database: crystalline BaSr3C at its relaxed geometry (PBE). Values from VASP.

Results
V = 194.1 Å³/cell
Energy relative to the elements = 0.41 eV/atom
Fermi-level density of states = 5.49 states/eV/f.u.
Energy relative to the lowest polymorph listed for this composition = 0.000 eV per atom
Space-group type = Pm-3m (221)

The structure in Quantum ESPRESSO input format:
```
&SYSTEM
  ibrav = 0, nat = 5, ntyp = 3
/
ATOMIC_SPECIES
Ba 137.33 Ba.upf
Sr 87.62 Sr.upf
C 12.01 C.upf
CELL_PARAMETERS angstrom
5.790 0.000 0.000
0.000 5.790 0.000
0.000 0.000 5.790
ATOMIC_POSITIONS crystal
Ba 0.000 0.000 0.000
Sr 0.000 0.500 0.500
Sr 0.500 0.000 0.500
Sr 0.500 0.500 0.000
C 0.500 0.500 0.500
```



Entry 10:
Entry from the Alexandria database: crystalline Ba3SrC at its relaxed geometry (PBE). Values from VASP.

Results
V = 222.2 Å³/cell
Energy relative to the elements = 0.49 eV/atom
Fermi-level density of states = 14.22 states/eV/f.u.
Energy relative to the lowest polymorph listed for this composition = 0.000 eV per atom
Space-group type = Pm-3m (221)

The structure in Quantum ESPRESSO input format:
```
&SYSTEM
  ibrav = 0, nat = 5, ntyp = 3
/
ATOMIC_SPECIES
Ba 137.33 Ba.upf
Sr 87.62 Sr.upf
C 12.01 C.upf
CELL_PARAMETERS angstrom
6.057 0.000 0.000
0.000 6.057 0.000
0.000 0.000 6.057
ATOMIC_POSITIONS crystal
Ba 0.000 0.000 0.500
Ba 0.000 0.500 0.000
Ba 0.500 0.000 0.000
Sr 0.500 0.500 0.500
C 0.000 0.000 0.000
```



Entry 11:
Entry from the Alexandria database: crystalline Ba2SrTlC at its relaxed geometry (PBE). Values from VASP.

Results
V = 182.8 Å³/cell
Energy relative to the elements = 0.25 eV/atom
Fermi-level density of states = 5.32 states/eV/f.u.
Space-group type = P4/mmm (123)

The structure in Quantum ESPRESSO input format:
```
&SYSTEM
  ibrav = 0, nat = 5, ntyp = 4
/
ATOMIC_SPECIES
Ba 137.33 Ba.upf
Sr 87.62 Sr.upf
Tl 204.38 Tl.upf
C 12.01 C.upf
CELL_PARAMETERS angstrom
5.725 0.000 0.000
0.000 5.725 0.000
0.000 0.000 5.577
ATOMIC_POSITIONS crystal
Ba 0.000 0.500 0.000
Ba 0.500 0.000 0.000
Sr 0.000 0.000 0.500
Tl 0.500 0.500 0.500
C 0.000 0.000 0.000
```



Entry 12:
Entry from the Alexandria database: crystalline BaTa2C at its relaxed geometry (PBE). Values from VASP.

Results
V = 411.7 Å³/cell
Energy relative to the elements = 0.65 eV/atom
Fermi-level density of states = 6.46 states/eV/f.u.
Space-group type = I4_1/amd (141)

The structure in Quantum ESPRESSO input format:
```
&SYSTEM
  ibrav = 0, nat = 16, ntyp = 3
/
ATOMIC_SPECIES
Ba 137.33 Ba.upf
Ta 180.95 Ta.upf
C 12.01 C.upf
CELL_PARAMETERS angstrom
6.631 0.000 0.000
0.000 6.631 0.000
0.000 0.000 9.364
ATOMIC_POSITIONS crystal
Ba 0.000 0.250 0.375
Ba 0.000 0.750 0.625
Ba 0.500 0.250 0.125
Ba 0.500 0.750 0.875
Ta 0.000 0.000 0.000
Ta 0.000 0.500 0.000
Ta 0.250 0.250 0.750
Ta 0.250 0.750 0.250
Ta 0.500 0.000 0.500
Ta 0.500 0.500 0.500
Ta 0.750 0.250 0.750
Ta 0.750 0.750 0.250
C 0.000 0.250 0.875
C 0.000 0.750 0.125
C 0.500 0.250 0.625
C 0.500 0.750 0.375
```



Entry 13:
Entry from the Alexandria database: crystalline Ba2TaC at its relaxed geometry (PBE). Values from VASP.

Results
V = 552.3 Å³/cell
Energy relative to the elements = 0.66 eV/atom
Fermi-level density of states = 3.88 states/eV/f.u.
Space-group type = I-42d (122)

The structure in Quantum ESPRESSO input format:
```
&SYSTEM
  ibrav = 0, nat = 16, ntyp = 3
/
ATOMIC_SPECIES
Ba 137.33 Ba.upf
Ta 180.95 Ta.upf
C 12.01 C.upf
CELL_PARAMETERS angstrom
11.477 0.000 0.000
0.000 11.477 0.000
0.000 0.000 4.193
ATOMIC_POSITIONS crystal
Ba 0.074 0.250 0.125
Ba 0.250 0.574 0.375
Ba 0.250 0.926 0.875
Ba 0.426 0.250 0.625
Ba 0.574 0.750 0.625
Ba 0.750 0.074 0.875
Ba 0.750 0.426 0.375
Ba 0.926 0.750 0.125
Ta 0.000 0.000 0.500
Ta 0.000 0.500 0.750
Ta 0.500 0.000 0.250
Ta 0.500 0.500 0.000
C 0.000 0.000 0.000
C 0.000 0.500 0.250
C 0.500 0.000 0.750
C 0.500 0.500 0.500
```



Entry 14:
Entry from the Alexandria database: crystalline Ba3TaC at its relaxed geometry (PBE). Values from VASP.

Results
V = 218.5 Å³/cell
Energy relative to the elements = 1.97 eV/atom
Fermi-level density of states = 4.43 states/eV/f.u.
Space-group type = Pm-3m (221)

The structure in Quantum ESPRESSO input format:
```
&SYSTEM
  ibrav = 0, nat = 5, ntyp = 3
/
ATOMIC_SPECIES
Ba 137.33 Ba.upf
Ta 180.95 Ta.upf
C 12.01 C.upf
CELL_PARAMETERS angstrom
6.023 0.000 0.000
0.000 6.023 0.000
0.000 0.000 6.023
ATOMIC_POSITIONS crystal
Ba 0.000 0.000 0.500
Ba 0.000 0.500 0.000
Ba 0.500 0.000 0.000
Ta 0.000 0.000 0.000
C 0.500 0.500 0.500
```



Entry 15:
Entry from the Alexandria database: crystalline BaTa3C at its relaxed geometry (PBE). Values from VASP.

Results
V = 129.0 Å³/cell
Energy relative to the elements = 4.27 eV/atom
Fermi-level density of states = 4.61 states/eV/f.u.
Energy relative to the lowest polymorph listed for this composition = 3.457 eV per atom
Space-group type = Pm-3m (221)

The structure in Quantum ESPRESSO input format:
```
&SYSTEM
  ibrav = 0, nat = 5, ntyp = 3
/
ATOMIC_SPECIES
Ba 137.33 Ba.upf
Ta 180.95 Ta.upf
C 12.01 C.upf
CELL_PARAMETERS angstrom
5.052 0.000 0.000
0.000 5.052 0.000
0.000 0.000 5.052
ATOMIC_POSITIONS crystal
Ba 0.000 0.000 0.000
Ta 0.000 0.000 0.500
Ta 0.000 0.500 0.000
Ta 0.500 0.000 0.000
C 0.500 0.500 0.500
```



Entry 16:
Entry from the Alexandria database: crystalline BaTaC3 at its relaxed geometry (PBE). Values from VASP.

Results
V = 85.3 Å³/cell
Energy relative to the elements = 3.76 eV/atom
Fermi-level density of states = 4.28 states/eV/f.u.
Energy relative to the lowest polymorph listed for this composition = 2.822 eV per atom
Space-group type = Pm-3m (221)

The structure in Quantum ESPRESSO input format:
```
&SYSTEM
  ibrav = 0, nat = 5, ntyp = 3
/
ATOMIC_SPECIES
Ba 137.33 Ba.upf
Ta 180.95 Ta.upf
C 12.01 C.upf
CELL_PARAMETERS angstrom
4.401 0.000 0.000
0.000 4.401 0.000
0.000 0.000 4.401
ATOMIC_POSITIONS crystal
Ba 0.000 0.000 0.000
Ta 0.500 0.500 0.500
C 0.000 0.000 0.500
C 0.000 0.500 0.000
C 0.500 0.000 0.000
```



Entry 17:
Entry from the Alexandria database: crystalline BaTaC3 at its relaxed geometry (PBE). Values from VASP.

Results
V = 81.5 Å³/cell
Energy relative to the elements = 0.93 eV/atom
Fermi-level density of states = 4.72 states/eV/f.u.
Energy relative to the lowest polymorph listed for this composition = 0.000 eV per atom
Space-group type = Pm-3m (221)

The structure in Quantum ESPRESSO input format:
```
&SYSTEM
  ibrav = 0, nat = 5, ntyp = 3
/
ATOMIC_SPECIES
Ba 137.33 Ba.upf
Ta 180.95 Ta.upf
C 12.01 C.upf
CELL_PARAMETERS angstrom
4.335 0.000 0.000
0.000 4.335 0.000
0.000 0.000 4.335
ATOMIC_POSITIONS crystal
Ba 0.000 0.000 0.000
Ta 0.500 0.500 0.500
C 0.000 0.500 0.500
C 0.500 0.000 0.500
C 0.500 0.500 0.000
```



Entry 18:
Entry from the Alexandria database: crystalline BaTaC2 at its relaxed geometry (PBE). Values from VASP.

Results
V = 331.7 Å³/cell
Energy relative to the elements = 0.28 eV/atom
Fermi-level density of states = 3.30 states/eV/f.u.
Energy relative to the lowest polymorph listed for this composition = 0.000 eV per atom
Space-group type = I-42d (122)

The structure in Quantum ESPRESSO input format:
```
&SYSTEM
  ibrav = 0, nat = 16, ntyp = 3
/
ATOMIC_SPECIES
Ba 137.33 Ba.upf
Ta 180.95 Ta.upf
C 12.01 C.upf
CELL_PARAMETERS angstrom
6.106 0.000 0.000
0.000 6.106 0.000
0.000 0.000 8.896
ATOMIC_POSITIONS crystal
Ba 0.000 0.000 0.000
Ba 0.000 0.500 0.250
Ba 0.500 0.000 0.750
Ba 0.500 0.500 0.500
Ta 0.000 0.000 0.500
Ta 0.000 0.500 0.750
Ta 0.500 0.000 0.250
Ta 0.500 0.500 0.000
C 0.127 0.250 0.625
C 0.250 0.627 0.875
C 0.250 0.873 0.375
C 0.373 0.250 0.125
C 0.627 0.750 0.125
C 0.750 0.127 0.375
C 0.750 0.373 0.875
C 0.873 0.750 0.625
```



Entry 19:
Entry from the Alexandria database: crystalline BaTaC2 at its relaxed geometry (PBE). Values from VASP.

Results
V = 244.3 Å³/cell
Energy relative to the elements = 1.93 eV/atom
Fermi-level density of states = 2.79 states/eV/f.u.
Energy relative to the lowest polymorph listed for this composition = 1.651 eV per atom
Space-group type = Fm-3m (225)

The structure in Quantum ESPRESSO input format:
```
&SYSTEM
  ibrav = 0, nat = 16, ntyp = 3
/
ATOMIC_SPECIES
Ba 137.33 Ba.upf
Ta 180.95 Ta.upf
C 12.01 C.upf
CELL_PARAMETERS angstrom
6.251 0.000 0.000
0.000 6.251 0.000
0.000 0.000 6.251
ATOMIC_POSITIONS crystal
Ba 0.000 0.000 0.000
Ba 0.000 0.500 0.500
Ba 0.500 0.000 0.500
Ba 0.500 0.500 0.000
Ta 0.000 0.000 0.500
Ta 0.000 0.500 0.000
Ta 0.500 0.000 0.000
Ta 0.500 0.500 0.500
C 0.250 0.250 0.250
C 0.250 0.250 0.750
C 0.250 0.750 0.250
C 0.250 0.750 0.750
C 0.750 0.250 0.250
C 0.750 0.250 0.750
C 0.750 0.750 0.250
C 0.750 0.750 0.750
```



Entry 20:
Entry from the Alexandria database: crystalline BaTa3C at its relaxed geometry (PBE). Values from VASP.

Results
V = 93.6 Å³/cell
Energy relative to the elements = 0.81 eV/atom
Fermi-level density of states = 6.35 states/eV/f.u.
Energy relative to the lowest polymorph listed for this composition = 0.000 eV per atom
Space-group type = Pm-3m (221)

The structure in Quantum ESPRESSO input format:
```
&SYSTEM
  ibrav = 0, nat = 5, ntyp = 3
/
ATOMIC_SPECIES
Ba 137.33 Ba.upf
Ta 180.95 Ta.upf
C 12.01 C.upf
CELL_PARAMETERS angstrom
4.540 0.000 0.000
0.000 4.540 0.000
0.000 0.000 4.540
ATOMIC_POSITIONS crystal
Ba 0.000 0.000 0.000
Ta 0.000 0.500 0.500
Ta 0.500 0.000 0.500
Ta 0.500 0.500 0.000
C 0.500 0.500 0.500
```